# 1
Computed, not measured: a geometry-optimized Ba2ZnIrCl structure at the PBE level of DFT.

Geometry as POSCAR:
```
Ba2ZnIrCl
1.0
6.0340 0.0000 0.0000
0.0000 6.0340 0.0000
0.0000 0.0000 4.8222
Ba Zn Ir Cl
2 1 1 1
direct
0.0000 0.5000 0.0000
0.5000 0.0000 0.0000
0.0000 0.0000 0.5000
0.0000 0.0000 0.0000
0.5000 0.5000 0.5000
```

Computed properties:
**Energy**: -3.90 eV/atom
**Energy relative to the elements, uncorrected**: -731 meV/atom
**Symmetry**: No. 123

***

# 2
Computed, not measured: a geometry-optimized KPt2 structure at the PBE level of DFT.

Geometry as POSCAR:
```
KPt2
1.0
-2.2737 2.2737 7.2971
2.2737 -2.2737 7.2971
2.2737 2.2737 -7.2971
K Pt
2 4
direct
0.3750 0.6250 0.7500
0.6250 0.3750 0.2500
0.0385 0.7885 0.2500
0.2115 0.9615 0.2500
0.7885 0.0385 0.7500
0.9615 0.2115 0.7500
```

Computed properties:
**Energy**: -4.28 eV/atom
**Calculated formation energy**: 113 meV/atom
**Symmetry**: No. 141

***

# 3
Computed, not measured: a geometry-optimized CaCe2ErSe4 structure at the PBE level of DFT.

Geometry as POSCAR:
```
CaCe2ErSe4
1.0
7.1660 0.0000 0.0000
0.0000 4.1262 0.0000
-2.3739 0.0000 6.9089
Ca Ce Er Se
1 2 1 4
direct
0.0000 0.0000 0.0000
0.0000 0.5000 0.5000
0.5000 0.0000 0.5000
0.5000 0.5000 0.0000
0.2500 0.5000 0.2383
0.2579 0.0000 0.7641
0.7421 0.0000 0.2359
0.7500 0.5000 0.7617
```

Computed properties:
**Energy**: -5.86 eV/atom
**Energy relative to the elements, uncorrected**: -1813 meV/atom
**Symmetry**: No. 10